No. 1
Material: LiHfZrTc
Method: DFT, PBE-GGA
State: relaxed

Lattice parameters (Å, degrees): 6.590 6.590 6.590 90.00 90.00 90.00
Space group F-43m (No. 216)
Inequivalent atoms, fractional coordinates:
Li (0.000, 0.000, 0.000)
Hf (0.250, 0.250, 0.250)
Zr (0.250, 0.250, 0.750)
Tc (0.000, 0.000, 0.500)

Summary:
* density of states at the Fermi level: 13.37 states/eV per cell
* E: -126.33 eV for the cell shown
* total magnetization: 0.000 μB per formula unit

No. 2
Material: LiHf2Te4
Method: DFT, PBE-GGA
State: relaxed

Lattice parameters (Å, degrees): 3.9967 3.9967 43.4119 90.00 90.00 120.00
Space group R-3m (No. 166, hexagonal axes)
Inequivalent atoms, fractional coordinates:
Li (0.0000, 0.0000, 0.0000)
Hf (0.0000, 0.0000, 0.2492)
Te (0.0000, 0.0000, 0.1238)
Te (0.0000, 0.0000, 0.3755)

Summary:
* density of states at the Fermi level: 7.47 states/eV per cell
* energy above the most stable polymorph in this dataset: 0 meV per atom
* E: -120.76 eV for the cell shown
* total magnetization: 0.000 μB per formula unit

No. 3
Material: Li4HfTe4
Method: DFT, PBE-GGA
State: relaxed

Lattice parameters (Å, degrees): 6.657 6.657 12.720 90.00 90.00 90.00
Space group I-42m (No. 121)
Inequivalent atoms, fractional coordinates:
Li (0.000, 0.000, 0.234)
Li (0.000, 0.500, 0.000)
Hf (0.000, 0.000, 0.500)
Te (0.234, 0.234, 0.625)

Summary:
* density of states at the Fermi level: 0.00 states/eV per cell
* E: -76.50 eV for the cell shown
* total magnetization: 0.000 μB per formula unit

No. 4
Material: LiHf2Te4
Method: DFT, PBE-GGA
State: relaxed

Lattice parameters (Å, degrees): 4.049 13.370 14.423 90.00 90.00 90.00
Space group Cmcm (No. 63)
Inequivalent atoms, fractional coordinates:
Li (0.000, 0.100, 0.250)
Hf (0.000, 0.363, 0.067)
Te (0.000, 0.000, 0.000)
Te (0.000, 0.280, 0.621)
Te (0.000, 0.449, 0.250)

Summary:
* density of states at the Fermi level: 11.43 states/eV per cell
* energy above the most stable polymorph in this dataset: 103 meV per atom
* E: -158.14 eV for the cell shown
* total magnetization: 0.000 μB per formula unit

No. 5
Material: Li3Hf5Te12
Method: DFT, PBE-GGA
State: relaxed

Lattice parameters (Å, degrees): 17.704 17.704 17.704 90.00 90.00 90.00
Space group Ia-3d (No. 230)
Inequivalent atoms, fractional coordinates:
Li (0.000, 0.250, 0.125)
Hf (0.000, 0.000, 0.000)
Hf (0.000, 0.250, 0.375)
Te (0.032, 0.066, 0.646)

Summary:
* density of states at the Fermi level: 122.76 states/eV per cell
* E: -830.31 eV for the cell shown
* total magnetization: 0.000 μB per formula unit

No. 6
Material: LiHfTe2
Method: DFT, PBE-GGA
State: relaxed

Lattice parameters (Å, degrees): 6.588 6.588 12.208 90.00 90.00 90.00
Space group I-42d (No. 122)
Inequivalent atoms, fractional coordinates:
Li (0.000, 0.000, 0.000)
Hf (0.000, 0.000, 0.500)
Te (0.248, 0.250, 0.125)

Summary:
* density of states at the Fermi level: 9.97 states/eV per cell
* E: -81.04 eV for the cell shown
* total magnetization: 0.933 μB per formula unit

No. 7
Material: LiHf2Te
Method: DFT, PBE-GGA
State: relaxed

Lattice parameters (Å, degrees): 7.696 7.696 5.874 90.00 90.00 90.00
Space group I-42d (No. 122)
Inequivalent atoms, fractional coordinates:
Li (0.000, 0.000, 0.000)
Hf (0.247, 0.250, 0.125)
Te (0.000, 0.000, 0.500)

Summary:
* density of states at the Fermi level: 13.03 states/eV per cell
* E: -97.01 eV for the cell shown
* total magnetization: 0.000 μB per formula unit

No. 8
Material: Li5HfTe6
Method: DFT, PBE-GGA
State: relaxed

Lattice parameters (Å, degrees): 7.714 10.291 7.671 90.00 104.41 90.00
Space group C2/m (No. 12)
Inequivalent atoms, fractional coordinates:
Li (0.000, 0.000, 0.000)
Li (0.000, 0.158, 0.500)
Li (0.000, 0.341, 0.000)
Hf (0.000, 0.500, 0.500)
Te (0.237, 0.331, 0.748)
Te (0.250, 0.000, 0.740)

Summary:
* density of states at the Fermi level: 4.24 states/eV per cell
* E: -94.54 eV for the cell shown
* total magnetization: 0.000 μB per formula unit

No. 9
Material: LiHfTe2
Method: DFT, PBE-GGA
State: relaxed

Lattice parameters (Å, degrees): 7.201 7.201 7.201 90.00 90.00 90.00
Space group Fm-3m (No. 225)
Inequivalent atoms, fractional coordinates:
Li (0.000, 0.000, 0.000)
Hf (0.000, 0.000, 0.500)
Te (0.250, 0.250, 0.250)

Summary:
* density of states at the Fermi level: 19.61 states/eV per cell
* E: -79.95 eV for the cell shown
* total magnetization: 0.751 μB per formula unit

No. 10
Material: LiHfTe2
Method: DFT, PBE-GGA
State: relaxed

Lattice parameters (Å, degrees): 3.9663 3.9663 22.6885 90.00 90.00 120.00
Space group R3m (No. 160, hexagonal axes)
Inequivalent atoms, fractional coordinates:
Li (0.0000, 0.0000, 0.0000)
Hf (0.0000, 0.0000, 0.1610)
Te (0.0000, 0.0000, 0.5738)
Te (0.0000, 0.0000, 0.7484)

Summary:
* density of states at the Fermi level: 6.44 states/eV per cell
* E: -64.06 eV for the cell shown
* total magnetization: 0.000 μB per formula unit

No. 11
Material: LiHf2Te6
Method: DFT, PBE-GGA
State: relaxed

Lattice parameters (Å, degrees): 6.842 6.842 12.267 90.00 90.00 90.00
Space group P4_2/mnm (No. 136)
Inequivalent atoms, fractional coordinates:
Li (0.000, 0.000, 0.000)
Hf (0.000, 0.000, 0.340)
Te (0.206, 0.206, 0.173)
Te (0.210, 0.210, 0.500)

Summary:
* density of states at the Fermi level: 18.34 states/eV per cell
* E: -90.37 eV for the cell shown
* total magnetization: 0.000 μB per formula unit

No. 12
Material: Li3HfTe
Method: DFT, PBE-GGA
State: relaxed

Lattice parameters (Å, degrees): 4.952 4.952 4.952 90.00 90.00 90.00
Space group Pm-3m (No. 221)
Inequivalent atoms, fractional coordinates:
Li (0.000, 0.000, 0.500)
Hf (0.500, 0.500, 0.500)
Te (0.000, 0.000, 0.000)

Summary:
* density of states at the Fermi level: 5.06 states/eV per cell
* energy above the most stable polymorph in this dataset: 0 meV per atom
* E: -16.84 eV for the cell shown
* total magnetization: 0.709 μB per formula unit

Number 5 is which compound? Li3Hf5Te12

Which of these has the lowest density of states at the Fermi level? Li4HfTe4

Number 9 is which compound? LiHfTe2